(1)
## Zr5In4 (PBE-GGA)

Data for a geometry-optimized Zr5In4 structure.

Values from the calculation:
electronic total energy	-6.24	eV per atom

Unit cell a=8.8236 b=8.8236 c=5.9909 alpha=90.00 beta=90.00 gamma=120.00
Space group P6_3/mcm (No. 193)
Unique sites:
Zr 0.0000 0.2965 0.2500 (multiplicity 6)
Zr 0.3333 0.6667 0.0000 (multiplicity 4)
In 0.0000 0.0000 0.0000 (multiplicity 2)
In 0.0000 0.3708 0.7500 (multiplicity 6)

---

(2)
## NdOsPt (PBE-GGA)

Data for a geometry-optimized NdOsPt structure.

Values from the calculation:
electronic total energy	-7.02	eV per atom

Unit cell a=6.5101 b=6.5101 c=6.5101 alpha=90.00 beta=90.00 gamma=90.00
Space group F-43m (No. 216)
Unique sites:
Nd 0.0000 0.0000 0.0000 (multiplicity 4)
Os 0.0000 0.0000 0.5000 (multiplicity 4)
Pt 0.2500 0.2500 0.2500 (multiplicity 4)

---

(3)
## La2Tb (PBE-GGA)

Data for a geometry-optimized La2Tb structure.

Values from the calculation:
excess energy over the best structure of this formula in the dataset	4.99	eV per formula unit

Unit cell a=13.0629 b=13.0629 c=13.0629 alpha=90.00 beta=90.00 gamma=90.00
Space group Fd-3m (No. 227, origin choice 2)
Unique sites:
La 0.0000 0.0000 0.0000 (multiplicity 16)
Tb 0.1250 0.1250 0.1250 (multiplicity 8)

---

(4)
## SiB4Ir (PBE-GGA)

Data for a geometry-optimized SiB4Ir structure.

Values from the calculation:
excess energy over the best structure of this formula in the dataset	0.11	eV per formula unit

Unit cell a=3.0345 b=5.3024 c=6.6626 alpha=90.00 beta=90.00 gamma=90.00
Space group Immm (No. 71)
Unique sites:
Si 0.0000 0.0000 0.0000 (multiplicity 2)
B 0.0000 0.3337 0.2618 (multiplicity 8)
Ir 0.0000 0.0000 0.5000 (multiplicity 2)

---

(5)
## Zr3Sc3CoBi2 (PBE-GGA)

Data for a geometry-optimized Zr3Sc3CoBi2 structure.

Values from the calculation:
electronic total energy	-6.25	eV per atom

Unit cell a=9.0622 b=9.0622 c=3.0434 alpha=90.00 beta=90.00 gamma=120.00
Space group P-62m (No. 189)
Unique sites:
Zr 0.0000 0.7100 0.0000 (multiplicity 3)
Sc 0.0000 0.3474 0.0000 (multiplicity 3)
Co 0.0000 0.0000 0.0000 (multiplicity 1)
Bi 0.3333 0.6667 0.0000 (multiplicity 2)

---

(6)
## PmMo (PBE-GGA)

Data for a geometry-optimized PmMo structure.

Values from the calculation:
excess energy over the best structure of this formula in the dataset	1.22	eV per formula unit

Unit cell a=3.5936 b=3.5936 c=7.5991 alpha=90.00 beta=90.00 gamma=120.00
Space group P6_3/mmc (No. 194)
Unique sites:
Pm 0.0000 0.0000 0.0000 (multiplicity 2)
Mo 0.3333 0.6667 0.2500 (multiplicity 2)

---

(7)
## MgGaCoSn (PBE-GGA)

Data for a geometry-optimized MgGaCoSn structure.

Values from the calculation:
excess energy over the best structure of this formula in the dataset	0.00	eV per formula unit

Unit cell a=6.4506 b=6.4506 c=6.4506 alpha=90.00 beta=90.00 gamma=90.00
Space group F-43m (No. 216)
Unique sites:
Mg 0.0000 0.0000 0.0000 (multiplicity 4)
Ga 0.2500 0.2500 0.7500 (multiplicity 4)
Co 0.0000 0.0000 0.5000 (multiplicity 4)
Sn 0.2500 0.2500 0.2500 (multiplicity 4)

---

(8)
## BeInReW (PBE-GGA)

Data for a geometry-optimized BeInReW structure.

Values from the calculation:
excess energy over the best structure of this formula in the dataset	0.00	eV per formula unit

Unit cell a=6.2514 b=6.2514 c=6.2514 alpha=90.00 beta=90.00 gamma=90.00
Space group F-43m (No. 216)
Unique sites:
Be 0.0000 0.0000 0.0000 (multiplicity 4)
In 0.2500 0.2500 0.2500 (multiplicity 4)
Re 0.0000 0.0000 0.5000 (multiplicity 4)
W 0.2500 0.2500 0.7500 (multiplicity 4)

---

(9)
## HfInCuOs (PBE-GGA)

Data for a geometry-optimized HfInCuOs structure.

Values from the calculation:
excess energy over the best structure of this formula in the dataset	0.00	eV per formula unit

Unit cell a=6.4747 b=6.4747 c=6.4747 alpha=90.00 beta=90.00 gamma=90.00
Space group F-43m (No. 216)
Unique sites:
Hf 0.0000 0.0000 0.0000 (multiplicity 4)
In 0.0000 0.0000 0.5000 (multiplicity 4)
Cu 0.2500 0.2500 0.7500 (multiplicity 4)
Os 0.2500 0.2500 0.2500 (multiplicity 4)

---

(10)
## TmGaAg (PBE-GGA)

Data for a geometry-optimized TmGaAg structure.

Values from the calculation:
electronic total energy	-3.70	eV per atom

Unit cell a=6.5291 b=6.5291 c=6.5291 alpha=90.00 beta=90.00 gamma=90.00
Space group F-43m (No. 216)
Unique sites:
Tm 0.0000 0.0000 0.0000 (multiplicity 4)
Ga 0.0000 0.0000 0.5000 (multiplicity 4)
Ag 0.2500 0.2500 0.7500 (multiplicity 4)

---

(11)
## HoTmSe2 (PBE-GGA)

Data for a geometry-optimized HoTmSe2 structure.

Values from the calculation:
electronic total energy	-5.69	eV per atom

Unit cell a=4.0246 b=4.0246 c=5.6973 alpha=90.00 beta=90.00 gamma=90.00
Space group P4/mmm (No. 123)
Unique sites:
Ho 0.0000 0.0000 0.0000 (multiplicity 1)
Tm 0.5000 0.5000 0.5000 (multiplicity 1)
Se 0.0000 0.0000 0.5000 (multiplicity 1)
Se 0.5000 0.5000 0.0000 (multiplicity 1)

---

(12)
## TbDy2In3NiGe2 (PBE-GGA)

Data for a geometry-optimized TbDy2In3NiGe2 structure.

Values from the calculation:
electronic total energy	-4.70	eV per atom

Unit cell a=4.2439 b=12.6852 c=7.3196 alpha=90.00 beta=90.00 gamma=90.00
Space group Amm2 (No. 38)
Unique sites:
Tb 0.0000 0.0000 0.0000 (multiplicity 2)
Dy 0.0000 0.2013 0.3958 (multiplicity 4)
In 0.5000 0.0000 0.3575 (multiplicity 2)
In 0.5000 0.1199 0.7167 (multiplicity 4)
Ni 0.0000 0.0000 0.5964 (multiplicity 2)
Ge 0.5000 0.1671 0.0972 (multiplicity 4)

---

(13)
## GdSbPt (PBE-GGA)

Data for a geometry-optimized GdSbPt structure.

Values from the calculation:
electronic total energy	-6.16	eV per atom

Unit cell a=6.6379 b=6.6379 c=6.6379 alpha=90.00 beta=90.00 gamma=90.00
Space group F-43m (No. 216)
Unique sites:
Gd 0.0000 0.0000 0.0000 (multiplicity 4)
Sb 0.0000 0.0000 0.5000 (multiplicity 4)
Pt 0.2500 0.2500 0.2500 (multiplicity 4)

---

(14)
## LiLu2Si (PBE-GGA)

Data for a geometry-optimized LiLu2Si structure.

Values from the calculation:
electronic total energy	-4.00	eV per atom

Unit cell a=6.9834 b=6.9834 c=6.9834 alpha=90.00 beta=90.00 gamma=90.00
Space group F-43m (No. 216)
Unique sites:
Li 0.0000 0.0000 0.0000 (multiplicity 4)
Lu 0.0000 0.0000 0.5000 (multiplicity 4)
Lu 0.2500 0.2500 0.2500 (multiplicity 4)
Si 0.2500 0.2500 0.7500 (multiplicity 4)

---

(15)
## Sr2ZnH6Pt (PBE-GGA)

Data for a geometry-optimized Sr2ZnH6Pt structure.

Values from the calculation:
electronic total energy	-3.46	eV per atom

Unit cell a=7.7697 b=7.7697 c=7.7697 alpha=90.00 beta=90.00 gamma=90.00
Space group Fm-3m (No. 225)
Unique sites:
Sr 0.2500 0.2500 0.2500 (multiplicity 8)
Zn 0.0000 0.0000 0.0000 (multiplicity 4)
H 0.0000 0.0000 0.2663 (multiplicity 24)
Pt 0.0000 0.0000 0.5000 (multiplicity 4)

---

(16)
## BiIr8 (PBE-GGA)

Data for a geometry-optimized BiIr8 structure.

Values from the calculation:
electronic total energy	-8.24	eV per atom

Unit cell a=8.6098 b=3.8856 c=29.8316 alpha=90.00 beta=90.11 gamma=90.00
Space group C2/m (No. 12)
Unique sites:
Bi 0.0519 0.0000 0.2420 (multiplicity 4)
Ir 0.0490 0.0000 0.5434 (multiplicity 4)
Ir 0.0519 0.5000 0.3988 (multiplicity 4)
Ir 0.0544 0.5000 0.6878 (multiplicity 4)
Ir 0.1487 0.0000 0.6306 (multiplicity 4)
Ir 0.1503 0.5000 0.4857 (multiplicity 4)
Ir 0.1521 0.0000 0.3404 (multiplicity 4)
Ir 0.2481 0.5000 0.2838 (multiplicity 4)
Ir 0.2486 0.5000 0.5729 (multiplicity 4)

---

(17)
## Er2In8Fe (PBE-GGA)

Data for a geometry-optimized Er2In8Fe structure.

Values from the calculation:
electronic total energy	-3.81	eV per atom

Unit cell a=4.5992 b=4.5992 c=12.2035 alpha=90.00 beta=90.00 gamma=90.00
Space group P4/mmm (No. 123)
Unique sites:
Er 0.0000 0.0000 0.1924 (multiplicity 2)
In 0.0000 0.5000 0.0000 (multiplicity 2)
In 0.0000 0.5000 0.3796 (multiplicity 4)
In 0.5000 0.5000 0.1928 (multiplicity 2)
Fe 0.0000 0.0000 0.5000 (multiplicity 1)

---

(18)
## PmAgSeO (PBE-GGA)

Data for a geometry-optimized PmAgSeO structure.

Values from the calculation:
excess energy over the best structure of this formula in the dataset	0.00	eV per formula unit

Unit cell a=9.4050 b=5.7163 c=5.7157 alpha=90.00 beta=90.00 gamma=90.00
Space group Pbcm (No. 57)
Unique sites:
Pm 0.1236 0.0001 0.2500 (multiplicity 4)
Ag 0.5004 0.2500 0.0000 (multiplicity 4)
Se 0.2957 0.0004 0.7500 (multiplicity 4)
O 0.0000 0.2500 0.0000 (multiplicity 4)

---

(19)
## TaNbCd (PBE-GGA)

Data for a geometry-optimized TaNbCd structure.

Values from the calculation:
excess energy over the best structure of this formula in the dataset	0.00	eV per formula unit

Unit cell a=6.3780 b=6.3780 c=6.3780 alpha=90.00 beta=90.00 gamma=90.00
Space group F-43m (No. 216)
Unique sites:
Ta 0.0000 0.0000 0.0000 (multiplicity 4)
Nb 0.0000 0.0000 0.5000 (multiplicity 4)
Cd 0.2500 0.2500 0.7500 (multiplicity 4)

---

(20)
## KNbB (PBE-GGA)

Data for a geometry-optimized KNbB structure.

Values from the calculation:
excess energy over the best structure of this formula in the dataset	3.31	eV per formula unit

Unit cell a=6.2642 b=6.2642 c=6.2642 alpha=90.00 beta=90.00 gamma=90.00
Space group F-43m (No. 216)
Unique sites:
K 0.0000 0.0000 0.0000 (multiplicity 4)
Nb 0.2500 0.2500 0.2500 (multiplicity 4)
B 0.2500 0.2500 0.7500 (multiplicity 4)

---

(21)
## Ta3CuBi5 (PBE-GGA)

Data for a geometry-optimized Ta3CuBi5 structure.

Values from the calculation:
electronic total energy	-6.29	eV per atom

Unit cell a=5.7911 b=5.7911 c=8.7736 alpha=90.00 beta=90.00 gamma=120.00
Space group P6/mmm (No. 191)
Unique sites:
Ta 0.0000 0.5000 0.0000 (multiplicity 3)
Cu 0.0000 0.0000 0.5000 (multiplicity 1)
Bi 0.0000 0.0000 0.0000 (multiplicity 1)
Bi 0.3333 0.6667 0.2906 (multiplicity 4)

---

(22)
## DyEr2Lu4Ni2Te2 (PBE-GGA)

Data for a geometry-optimized DyEr2Lu4Ni2Te2 structure.

Values from the calculation:
excess energy over the best structure of this formula in the dataset	0.02	eV per formula unit

Unit cell a=3.8176 b=15.3354 c=9.4484 alpha=90.00 beta=90.00 gamma=90.00
Space group Imm2 (No. 44)
Unique sites:
Dy 0.0000 0.0000 0.0000 (multiplicity 2)
Er 0.0000 0.1347 0.5814 (multiplicity 4)
Lu 0.0000 0.3143 0.3766 (multiplicity 4)
Lu 0.0000 0.3529 0.7284 (multiplicity 4)
Ni 0.0000 0.2356 0.0692 (multiplicity 4)
Te 0.0000 0.0000 0.3376 (multiplicity 2)
Te 0.0000 0.5000 0.2334 (multiplicity 2)

---

(23)
## ZnNiB2 (PBE-GGA)

Data for a geometry-optimized ZnNiB2 structure.

Values from the calculation:
electronic total energy	-4.07	eV per atom

Unit cell a=5.3156 b=5.3156 c=5.3156 alpha=90.00 beta=90.00 gamma=90.00
Space group F-43m (No. 216)
Unique sites:
Zn 0.0000 0.0000 0.0000 (multiplicity 4)
Ni 0.2500 0.2500 0.2500 (multiplicity 4)
B 0.0000 0.0000 0.5000 (multiplicity 4)
B 0.2500 0.2500 0.7500 (multiplicity 4)

---

(24)
## NaScPt (PBE-GGA)

Data for a geometry-optimized NaScPt structure.

Values from the calculation:
excess energy over the best structure of this formula in the dataset	0.00	eV per formula unit

Unit cell a=6.4441 b=6.4441 c=6.4441 alpha=90.00 beta=90.00 gamma=90.00
Space group F-43m (No. 216)
Unique sites:
Na 0.0000 0.0000 0.0000 (multiplicity 4)
Sc 0.0000 0.0000 0.5000 (multiplicity 4)
Pt 0.2500 0.2500 0.2500 (multiplicity 4)

---

(25)
## K3DyAs2S8 (PBE-GGA)

Data for a geometry-optimized K3DyAs2S8 structure.

Values from the calculation:
electronic total energy	-4.49	eV per atom

Unit cell a=10.4491 b=18.9828 c=8.9648 alpha=90.00 beta=117.45 gamma=90.00
Space group C2/c (No. 15)
Unique sites:
K 0.0000 0.0000 0.0000 (multiplicity 4)
K 0.0000 0.2384 0.2500 (multiplicity 4)
K 0.0000 0.4948 0.2500 (multiplicity 4)
Dy 0.0000 0.2570 0.7500 (multiplicity 4)
As 0.2190 0.3759 0.1003 (multiplicity 8)
S 0.0143 0.3542 0.5257 (multiplicity 8)
S 0.1782 0.1781 0.6553 (multiplicity 8)
S 0.2009 0.1741 0.0616 (multiplicity 8)
S 0.2471 0.0118 0.8735 (multiplicity 8)